[1]
# PBEsol LaWClO4, relaxed
# VASP energy = -241.6 eV for the cell shown
# E_form (uncorrected) = -2.607 eV per atom
data_LaWClO4
_chemical_formula_sum 'La4 W4 Cl4 O16'
_cell_length_a 19.058
_cell_length_b 5.806
_cell_length_c 3.960
_cell_angle_alpha 90.00
_cell_angle_beta 90.00
_cell_angle_gamma 90.00
_symmetry_space_group_name_H-M 'P n m a'
_symmetry_Int_Tables_number 62
loop_
_symmetry_equiv_pos_as_xyz
'x,y,z'
'-x,-y,-z'
'-x+1/2,-y,z+1/2'
'x+1/2,y,-z+1/2'
'x+1/2,-y+1/2,-z+1/2'
'-x+1/2,y+1/2,z+1/2'
'-x,y+1/2,-z'
'x,-y+1/2,z'
loop_
_atom_site_label
_atom_site_fract_x
_atom_site_fract_y
_atom_site_fract_z
La1 0.101 0.250 0.247
W1 0.180 0.750 0.687
Cl1 0.015 0.750 0.252
O1 0.133 0.020 0.750
O2 0.176 0.750 0.233
O3 0.227 0.250 0.254

[2]
# PBEsol SmGeRu, relaxed
# VASP energy = -89.0 eV for the cell shown
# calculated formation energy = -2.04 eV/f.u.
data_SmGeRu
_chemical_formula_sum 'Sm4 Ge4 Ru4'
_cell_length_a 7.111
_cell_length_b 4.470
_cell_length_c 7.066
_cell_angle_alpha 90.00
_cell_angle_beta 90.00
_cell_angle_gamma 90.00
_symmetry_space_group_name_H-M 'P n m a'
_symmetry_Int_Tables_number 62
loop_
_symmetry_equiv_pos_as_xyz
'x,y,z'
'-x,-y,-z'
'-x+1/2,-y,z+1/2'
'x+1/2,y,-z+1/2'
'x+1/2,-y+1/2,-z+1/2'
'-x+1/2,y+1/2,z+1/2'
'-x,y+1/2,-z'
'x,-y+1/2,z'
loop_
_atom_site_label
_atom_site_fract_x
_atom_site_fract_y
_atom_site_fract_z
Sm1 0.023 0.250 0.187
Ge1 0.197 0.250 0.608
Ru1 0.151 0.750 0.435

[3]
# PBEsol CrRu2Cl, relaxed
# VASP energy = -60.2 eV for the cell shown
# energy above the lowest structure with this stoichiometry = 279.0 meV per atom
# E_form (uncorrected) = 0.619 eV per atom
data_CrRu2Cl
_chemical_formula_sum 'Cr2 Ru4 Cl2'
_cell_length_a 2.754
_cell_length_b 4.826
_cell_length_c 8.400
_cell_angle_alpha 90.00
_cell_angle_beta 90.00
_cell_angle_gamma 90.00
_symmetry_space_group_name_H-M 'C m m 2'
_symmetry_Int_Tables_number 35
loop_
_symmetry_equiv_pos_as_xyz
'x,y,z'
'-x,-y,z'
'-x,y,z'
'x,-y,z'
'x+1/2,y+1/2,z'
'-x+1/2,-y+1/2,z'
'-x+1/2,y+1/2,z'
'x+1/2,-y+1/2,z'
loop_
_atom_site_label
_atom_site_fract_x
_atom_site_fract_y
_atom_site_fract_z
Cr1 0.000 0.000 0.000
Ru1 0.000 0.000 0.502
Ru2 0.000 0.500 0.248
Cl1 0.000 0.500 0.778

[4]
# PBEsol Li2CaFe, relaxed
# VASP energy = -52.1 eV for the cell shown
# energy above the lowest structure with this stoichiometry = 20.1 meV per atom
# calculated formation energy = 2.01 eV/f.u.
data_Li2CaFe
_chemical_formula_sum 'Li8 Ca4 Fe4'
_cell_length_a 6.727
_cell_length_b 6.727
_cell_length_c 6.727
_cell_angle_alpha 90.00
_cell_angle_beta 90.00
_cell_angle_gamma 90.00
_symmetry_space_group_name_H-M 'F m -3 m'
_symmetry_Int_Tables_number 225
_symmetry_space_group_name_Hall '-F 4 2 3'
loop_
_atom_site_label
_atom_site_fract_x
_atom_site_fract_y
_atom_site_fract_z
Li1 0.250 0.250 0.250
Ca1 0.000 0.000 0.000
Fe1 0.000 0.000 0.500